Below is Li6Sb2H after structural relaxation, with properties calculated at the GGA-PBE level.

abc: 3.8743 6.6546 13.9717
angles: 90.00 90.00 90.00
Closest atoms and distances in Å follow each position.
Space group Immm (No. 71)
One atom of each set of equivalent atoms:
Li 0.0000 0.2131 0.1723 [8 per cell]  3 Sb 2.73-2.77, 1 H 2.79, 3 Li 2.84-2.95
Li 0.0000 0.2563 0.5000 [4 per cell]  2 H 2.53, 2 Sb 2.78
Sb 0.0000 0.0000 0.3429 [4 per cell]  8 Li 2.73-2.78
H 0.0000 0.0000 0.0000 [2 per cell]  8 Li 2.53-2.79

Relative energy among the computed polymorphs: 163 meV/atom